(1)
Entry from the Alexandria database: a geometry-optimized LiRe2GeH structure (PBE).

Results
Space group   P4/mmm (123)
E   -5.797 eV per atom
Calculated volume   60 Å³/cell

Cell: 4.6309 4.6309 2.7892 Å, 90.00 90.00 90.00°
Last column: nearest neighbours and their distance in Å.
Element x y z (fractional)
Li  0.0000  0.0000  0.0000  2 H 1.39
Re  0.0000  0.5000  0.0000  2 Li 2.32
Re  0.5000  0.0000  0.0000  2 Li 2.32
Ge  0.5000  0.5000  0.5000  8 Re 2.70, 2 Ge 2.79
H  0.0000  0.0000  0.5000  2 Li 1.39



(2)
Entry from the Alexandria database: a geometry-optimized LiGe2HRh structure (PBE).

Results
Space group   P4/mmm (123)
E   -4.445 eV per atom
Calculated volume   62 Å³/cell

Cell: 4.2921 4.2921 3.3723 Å, 90.00 90.00 90.00°
Last column: nearest neighbours and their distance in Å.
Element x y z (fractional)
Li  0.0000  0.0000  0.0000  2 H 1.69
Ge  0.0000  0.5000  0.5000  2 H 2.15
Ge  0.5000  0.0000  0.5000  2 H 2.15
H  0.0000  0.0000  0.5000  2 Li 1.69
Rh  0.5000  0.5000  0.0000  8 Ge 2.73, 4 Li 3.04



(3)
Entry from the Alexandria database: a geometry-optimized LiGeHRu2 structure (PBE).

Results
Space group   P4/mmm (123)
E   -5.822 eV per atom
Calculated volume   54 Å³/cell

Cell: 4.0889 4.0889 3.2407 Å, 90.00 90.00 90.00°
Last column: nearest neighbours and their distance in Å.
Element x y z (fractional)
Li  0.0000  0.0000  0.0000  2 H 1.62
Ge  0.5000  0.5000  0.0000  8 Ru 2.61, 4 Li 2.89
H  0.0000  0.0000  0.5000  2 Li 1.62
Ru  0.0000  0.5000  0.5000  2 H 2.04
Ru  0.5000  0.0000  0.5000  2 H 2.04



(4)
Entry from the Alexandria database: a geometry-optimized Li2ScGeH structure (PBE).

Results
Space group   P4/mmm (123)
E   -4.161 eV per atom
Calculated volume   69 Å³/cell

Cell: 3.9354 3.9354 4.4464 Å, 90.00 90.00 90.00°
Last column: nearest neighbours and their distance in Å.
Element x y z (fractional)
Li  0.0000  0.5000  0.0000  2 H 1.97
Li  0.5000  0.0000  0.0000  2 H 1.97
Sc  0.0000  0.0000  0.5000  2 H 2.22
Ge  0.5000  0.5000  0.5000  4 Sc 2.78, 8 Li 2.97
H  0.0000  0.0000  0.0000  4 Li 1.97



(5)
Entry from the Alexandria database: a geometry-optimized LiGeHSe2 structure (PBE).

Results
Space group   P4/mmm (123)
E   -2.717 eV per atom
Calculated volume   102 Å³/cell

Cell: 4.6168 4.6168 4.7822 Å, 90.00 90.00 90.00°
Last column: nearest neighbours and their distance in Å.
Element x y z (fractional)
Li  0.0000  0.0000  0.0000  4 Se 2.31, 2 Ge 2.39
Ge  0.0000  0.0000  0.5000  2 Li 2.39
H  0.5000  0.5000  0.5000  4 Ge 3.26, 8 Se 3.32
Se  0.0000  0.5000  0.0000  2 Li 2.31
Se  0.5000  0.0000  0.0000  2 Li 2.31



(6)
Entry from the Alexandria database: a geometry-optimized LiSnGeH2 structure (PBE).

Results
Space group   P4/mmm (123)
Calculated volume   85 Å³/cell
Distance to the lowest polymorph of the same formula   234.1 meV/atom

Cell: 3.8361 3.8361 5.7635 Å, 90.00 90.00 90.00°
Last column: nearest neighbours and their distance in Å.
Element x y z (fractional)
Li  0.0000  0.0000  0.0000  4 Ge 2.71, 2 Sn 2.88
Sn  0.0000  0.0000  0.5000  4 H 1.92
Ge  0.5000  0.5000  0.0000  4 Li 2.71
H  0.0000  0.5000  0.5000  2 Sn 1.92
H  0.5000  0.0000  0.5000  2 Sn 1.92